Ca2TbPdO4: relaxed, GGA-PBE.

Properties
- E_tot: -6.620 eV/atom
- SG: P2/m
- Raw formation energy: -19.3 eV/f.u.
- Magnetization: 0.99 μB per formula unit

Unit cell a=3.362 b=6.076 c=6.090 alpha=114.83 beta=90.00 gamma=90.00
Last column: magnetic moment on the atom in μB.
Fractional positions:
Ca 0.500 0.000 0.500  0.00
Ca 0.000 0.500 0.500  0.01
Tb 0.500 0.500 0.000  -0.01
Pd 0.000 0.000 0.000  0.70
O 0.500 0.262 0.233  0.13
O 0.500 0.738 0.767  0.13
O 0.000 0.286 0.730  0.00
O 0.000 0.714 0.270  0.00